Compound: Zr4UN6
Source: Alexandria
Functional: PBE
Structure: optimized geometry

## Properties
The mass density comes out at 8153 kg/m³. The value obtained for the uncorrected formation energy is -1.56 eV/atom.

abc: 3.2346 5.6270 16.0508
angles: 90.00 90.00 106.70
With the nearest neighbours (Å) after each atom.
Atoms (fractional coordinates):
Zr 0.8625 0.7250 0.5467  6 N 2.19-2.40
Zr 0.4036 0.8072 0.1326  6 N 2.18-2.37
Zr 0.1375 0.2750 0.4533  6 N 2.19-2.40
Zr 0.5964 0.1928 0.8674  6 N 2.18-2.37
Zr 0.8625 0.7250 0.9533  6 N 2.19-2.40
Zr 0.1375 0.2750 0.0467  6 N 2.19-2.40
Zr 0.5964 0.1928 0.6326  6 N 2.18-2.37
Zr 0.4036 0.8072 0.3674  6 N 2.18-2.37
U 0.6586 0.3173 0.2500  6 N 2.23-2.44
U 0.3414 0.6827 0.7500  6 N 2.23-2.44
N 0.5000 0.0000 0.0000  6 Zr 2.32-2.37
N 0.5000 0.0000 0.5000  6 Zr 2.32-2.37
N 0.0421 0.0841 0.3331  3 Zr 2.19-2.27, 2 U 2.44
N 0.9579 0.9159 0.6669  3 Zr 2.19-2.27, 2 U 2.44
N 0.9579 0.9159 0.8331  3 Zr 2.19-2.27, 2 U 2.44
N 0.0421 0.0841 0.1669  3 Zr 2.19-2.27, 2 U 2.44
N 0.7688 0.5375 0.4112  5 Zr 2.25-2.40
N 0.2312 0.4625 0.5888  5 Zr 2.25-2.40
N 0.2312 0.4625 0.9112  5 Zr 2.25-2.40
N 0.7688 0.5375 0.0888  5 Zr 2.25-2.40
N 0.3012 0.6025 0.2500  2 Zr 2.18, 2 U 2.23
N 0.6988 0.3975 0.7500  2 Zr 2.18, 2 U 2.23



Compound: Zr5UN5
Source: Alexandria
Functional: PBE
Structure: optimized geometry

## Properties
The mass density comes out at 8350 kg/m³. The value obtained for the uncorrected formation energy is -1.55 eV/atom.

abc: 4.6862 5.7279 6.5528
angles: 107.07 90.00 114.15
With the nearest neighbours (Å) after each atom.
Atoms (fractional coordinates):
Zr 0.6776 0.3551 0.3345  5 N 2.25-2.37
Zr 0.6702 0.3405 0.8382  5 N 2.28-2.35
Zr 0.0000 0.0000 0.5000  4 N 2.31-2.32
Zr 0.3298 0.6595 0.1618  5 N 2.28-2.35
Zr 0.3224 0.6449 0.6655  5 N 2.25-2.37
U 0.0000 0.0000 0.0000  6 N 2.28-2.34
N 0.8350 0.6699 0.1670  5 Zr 2.25-2.34, 1 U 2.32
N 0.8370 0.6741 0.6710  1 U 2.28, 5 Zr 2.30-2.35
N 0.5000 0.0000 0.0000  2 U 2.34, 4 Zr 2.35-2.37
N 0.1630 0.3259 0.3290  1 U 2.28, 5 Zr 2.30-2.35
N 0.1650 0.3301 0.8330  5 Zr 2.25-2.34, 1 U 2.32



Compound: Zr5UN4
Source: Alexandria
Functional: PBE
Structure: optimized geometry

## Properties
The mass density comes out at 8178 kg/m³. The value obtained for the uncorrected formation energy is -1.33 eV/atom.

abc: 3.3089 6.6198 7.3447
angles: 103.30 103.02 90.00
With the nearest neighbours (Å) after each atom.
Atoms (fractional coordinates):
Zr 0.8308 0.6736 0.6617  3 N 2.30-2.34
Zr 0.8310 0.1557 0.6620  4 N 2.29-2.36
Zr 0.1690 0.8443 0.3380  4 N 2.29-2.36
Zr 0.5000 0.5000 0.0000  4 N 2.32
Zr 0.1692 0.3264 0.3383  3 N 2.30-2.34
U 0.5000 0.0000 0.0000  6 N 2.31-2.36
N 0.3336 0.9173 0.6673  5 Zr 2.29-2.30, 1 U 2.31
N 0.9992 0.7453 0.9984  4 Zr 2.32-2.36, 2 U 2.36
N 0.6664 0.0827 0.3327  5 Zr 2.29-2.30, 1 U 2.31
N 0.0008 0.2547 0.0016  4 Zr 2.32-2.36, 2 U 2.36



Compound: ZrU2N4
Source: Alexandria
Functional: PBE
Structure: optimized geometry

## Properties
The mass density comes out at 9541 kg/m³. The value obtained for the uncorrected formation energy is -1.22 eV/atom.

abc: 6.7447 6.7447 6.7447
angles: 120.00 90.01 120.00
With the nearest neighbours (Å) after each atom.
Atoms (fractional coordinates):
Zr 0.7500 0.5000 0.2500  4 N 2.15
Zr 0.0000 0.0000 0.0000  4 N 2.15
U 0.3750 0.7500 0.6250  6 N 2.34
U 0.3750 0.2500 0.6250  6 N 2.34
U 0.8750 0.2500 0.6250  6 N 2.34
U 0.3750 0.7500 0.1250  6 N 2.34
N 0.6198 0.2395 0.8593  1 Zr 2.15, 3 U 2.34
N 0.1302 0.7395 0.8698  1 Zr 2.15, 3 U 2.34
N 0.6198 0.7605 0.3802  1 Zr 2.15, 3 U 2.34
N 0.1302 0.2605 0.3907  1 Zr 2.15, 3 U 2.34
N 0.6198 0.2395 0.3802  1 Zr 2.15, 3 U 2.34
N 0.6093 0.7395 0.8698  1 Zr 2.15, 3 U 2.34
N 0.1302 0.2605 0.8698  1 Zr 2.15, 3 U 2.34
N 0.1407 0.7605 0.3802  1 Zr 2.15, 3 U 2.34